1.
La2WCl | PBE-GGA | relaxed

Calculated volume   27.0 Å³ per atom
Energy relative to the lowest polymorph listed for this composition   0.155 eV/atom
Uncorrected formation energy   -0.193 eV/atom
Total moment   0.00 μB/cell

a b c (Å): 3.7072 3.7072 27.1961
angles (deg): 90.00 90.00 120.00
Space group R-3m (No. 166, hexagonal axes)
Unique sites:
1 La 0.0000 0.0000 0.2445 x6
2 W 0.0000 0.0000 0.5000 x3
3 Cl 0.0000 0.0000 0.0000 x3

***

2.
LaWCl2 | PBE-GGA | relaxed

Calculated volume   23.7 Å³ per atom
Energy relative to the lowest polymorph listed for this composition   0.308 eV/atom
Uncorrected formation energy   -0.051 eV/atom
Total moment   3.51 μB/cell

a b c (Å): 3.752 4.285 5.885
angles (deg): 90.00 90.00 90.00
Space group Pmm2 (No. 25)
Unique sites:
1 La 0.000 0.000 0.000 x1
2 W 0.500 0.500 0.277 x1
3 Cl 0.000 0.000 0.493 x1
4 Cl 0.500 0.500 0.786 x1

***

3.
La2WCl | PBE-GGA | relaxed

Calculated volume   29.2 Å³ per atom
Energy relative to the lowest polymorph listed for this composition   0.672 eV/atom
Uncorrected formation energy   0.324 eV/atom
Total moment   0.00 μB/cell

a b c (Å): 3.207 3.207 11.339
angles (deg): 90.00 90.00 90.00
Space group P4mm (No. 99)
Unique sites:
1 La 0.000 0.000 0.000 x1
2 La 0.500 0.500 0.322 x1
3 W 0.000 0.000 0.514 x1
4 Cl 0.500 0.500 0.836 x1

***

4.
LaWCl2 | PBE-GGA | relaxed

Calculated volume   21.0 Å³ per atom
Energy relative to the lowest polymorph listed for this composition   0.111 eV/atom
Uncorrected formation energy   -0.248 eV/atom
Total moment   0.00 μB/cell

a b c (Å): 3.2342 3.2342 27.8777
angles (deg): 90.00 90.00 120.00
Space group R-3m (No. 166, hexagonal axes)
Unique sites:
1 La 0.0000 0.0000 0.0000 x3
2 W 0.0000 0.0000 0.5000 x3
3 Cl 0.0000 0.0000 0.4139 x6

***

5.
La2WCl | PBE-GGA | relaxed

Calculated volume   25.1 Å³ per atom
Energy relative to the lowest polymorph listed for this composition   0.115 eV/atom
Uncorrected formation energy   -0.233 eV/atom
Total moment   0.00 μB/cell

a b c (Å): 5.007 3.456 11.581
angles (deg): 90.00 90.00 90.00
Space group Amm2 (No. 38)
Unique sites:
1 La 0.000 0.000 0.000 x2
2 La 0.500 0.000 0.255 x2
3 W 0.000 0.000 0.759 x2
4 Cl 0.500 0.000 0.510 x2

***

6.
LaWCl2 | PBE-GGA | relaxed

Calculated volume   27.0 Å³ per atom
Energy relative to the lowest polymorph listed for this composition   0.462 eV/atom
Uncorrected formation energy   0.104 eV/atom
Total moment   9.62 μB/cell

a b c (Å): 3.4264 3.4264 31.8090
angles (deg): 90.00 90.00 120.00
Space group R-3m (No. 166, hexagonal axes)
Unique sites:
1 La 0.0000 0.0000 0.0000 x3
2 W 0.0000 0.0000 0.5000 x3
3 Cl 0.0000 0.0000 0.2684 x6

***

7.
LaWCl2 | PBE-GGA | relaxed

Calculated volume   22.5 Å³ per atom
Energy relative to the lowest polymorph listed for this composition   0.473 eV/atom
Uncorrected formation energy   0.115 eV/atom
Total moment   6.39 μB/cell

a b c (Å): 4.102 4.102 10.716
angles (deg): 90.00 90.00 90.00
Space group I-4m2 (No. 119)
Unique sites:
1 La 0.000 0.000 0.000 x2
2 W 0.000 0.500 0.750 x2
3 Cl 0.000 0.000 0.500 x2
4 Cl 0.000 0.500 0.250 x2

***

8.
La2WCl | PBE-GGA | relaxed

Calculated volume   27.1 Å³ per atom
Energy relative to the lowest polymorph listed for this composition   0.122 eV/atom
Uncorrected formation energy   -0.226 eV/atom
Total moment   0.00 μB/cell

a b c (Å): 3.306 3.820 17.183
angles (deg): 90.00 90.00 90.00
Space group Imm2 (No. 44)
Unique sites:
1 La 0.000 0.000 0.000 x2
2 La 0.000 0.500 0.272 x2
3 W 0.000 0.500 0.876 x2
4 Cl 0.000 0.000 0.614 x2

***

9.
LaWCl2 | PBE-GGA | relaxed

Calculated volume   22.0 Å³ per atom
Energy relative to the lowest polymorph listed for this composition   0.532 eV/atom
Uncorrected formation energy   0.174 eV/atom
Total moment   13.28 μB/cell

a b c (Å): 7.064 7.064 7.064
angles (deg): 90.00 90.00 90.00
Space group Fm-3m (No. 225)
Unique sites:
1 La 0.000 0.000 0.000 x4
2 W 0.000 0.000 0.500 x4
3 Cl 0.250 0.250 0.250 x8

***

10.
La2WCl | PBE-GGA | relaxed

Calculated volume   35.2 Å³ per atom
Energy relative to the lowest polymorph listed for this composition   0.498 eV/atom
Uncorrected formation energy   0.150 eV/atom
Total moment   3.41 μB/cell

a b c (Å): 6.501 6.501 13.328
angles (deg): 90.00 90.00 90.00
Space group I-42d (No. 122)
Unique sites:
1 La 0.209 0.250 0.125 x8
2 W 0.000 0.000 0.000 x4
3 Cl 0.000 0.000 0.500 x4

***

11.
LaWCl2 | PBE-GGA | relaxed

Calculated volume   25.8 Å³ per atom
Energy relative to the lowest polymorph listed for this composition   0.014 eV/atom
Uncorrected formation energy   -0.345 eV/atom
Total moment   0.00 μB/cell

a b c (Å): 3.454 4.949 12.096
angles (deg): 90.00 90.00 90.00
Space group Immm (No. 71)
Unique sites:
1 La 0.000 0.000 0.000 x2
2 W 0.000 0.000 0.500 x2
3 Cl 0.000 0.500 0.153 x4

***

12.
La2WCl | PBE-GGA | relaxed

Calculated volume   26.5 Å³ per atom
Energy relative to the lowest polymorph listed for this composition   0.705 eV/atom
Uncorrected formation energy   0.357 eV/atom
Total moment   0.02 μB/cell

a b c (Å): 3.629 5.501 10.612
angles (deg): 90.00 90.00 90.00
Space group Cmm2 (No. 35)
Unique sites:
1 La 0.000 0.000 0.000 x2
2 La 0.000 0.500 0.336 x2
3 W 0.000 0.500 0.798 x2
4 Cl 0.000 0.000 0.545 x2